No. 1
DFT (GGA-PBE) results for a relaxed ScPaFe2 crystal.

Cell and atoms, written as CIF:
```
data_ScPaFe2
_chemical_formula_sum 'Sc1 Pa1 Fe2'
_space_group_name_H-M_alt 'P 4/m m m'
_space_group_IT_number 123
_space_group_name_Hall '-P 4 2'
_cell_length_a 4.539
_cell_length_b 4.539
_cell_length_c 3.240
_cell_angle_alpha 90.00
_cell_angle_beta 90.00
_cell_angle_gamma 90.00
loop_
_atom_site_label
_atom_site_type_symbol
_atom_site_fract_x
_atom_site_fract_y
_atom_site_fract_z
Sc1 Sc 0.000 0.000 0.000
Pa1 Pa 0.500 0.500 0.000
Fe1 Fe 0.000 0.500 0.500
```

Properties
Crystal system   tetragonal
V   67 Å³ per cell
Magnetic moment   0.148 μB/atom
Density   9.644 g/cm³
Energy relative to the lowest polymorph listed for this composition   0 kJ/mol of formula units
Energy of formation   -0.502 eV/f.u.

***

No. 2
DFT (GGA-PBE) results for a relaxed Sc3Pa2Fe2 crystal.

Cell and atoms, written as CIF:
```
data_Sc3Pa2Fe2
_chemical_formula_sum 'Sc6 Pa4 Fe4'
_space_group_name_H-M_alt 'C 1 2/m 1'
_space_group_IT_number 12
_cell_length_a 10.829
_cell_length_b 3.455
_cell_length_c 8.449
_cell_angle_alpha 90.00
_cell_angle_beta 112.20
_cell_angle_gamma 90.00
loop_
_space_group_symop_operation_xyz
'x,y,z'
'-x,-y,-z'
'-x,y,-z'
'x,-y,z'
'x+1/2,y+1/2,z'
'-x+1/2,-y+1/2,-z'
'-x+1/2,y+1/2,-z'
'x+1/2,-y+1/2,z'
loop_
_atom_site_label
_atom_site_type_symbol
_atom_site_fract_x
_atom_site_fract_y
_atom_site_fract_z
Sc1 Sc 0.000 0.000 0.000
Sc2 Sc 0.117 0.000 0.419
Pa1 Pa 0.174 0.500 0.812
Fe1 Fe 0.197 0.500 0.233
```

Properties
Crystal system   monoclinic
V   293 Å³ per cell
Magnetic moment   0.000 μB/atom
Density   8.041 g/cm³
Energy of formation   -1.106 eV/f.u.

***

Look up the density of the second one. 8.041 g/cm³